{"formula": "MgAgI4", "functional": "PBE-GGA", "state": "relaxed", "final_energy_ev_per_atom": -2.30, "lattice": [[7.1799, 0.0000, 0.0000], [0.0000, 4.2136, 0.0000], [-2.2366, 0.0000, 7.1482]], "species": ["Mg", "Ag", "I", "I", "I", "I"], "frac_coords": [[0.0000, 0.0000, 0.0000], [0.5000, 0.5000, 0.0000], [0.2417, 0.5000, 0.2346], [0.2449, 0.0000, 0.7594], [0.7551, 0.0000, 0.2406], [0.7583, 0.5000, 0.7654]]}



{"formula": "GdErMg2", "functional": "PBE-GGA", "state": "relaxed", "total_magnetization_mub_per_atom": 0.009, "de_polymorph_mev_per_atom": 0.9, "lattice": [[5.3490, 0.0000, 0.0000], [0.0000, 5.3490, 0.0000], [0.0000, 0.0000, 3.7811]], "species": ["Gd", "Er", "Mg", "Mg"], "frac_coords": [[0.0000, 0.0000, 0.0000], [0.5000, 0.5000, 0.0000], [0.0000, 0.5000, 0.5000], [0.5000, 0.0000, 0.5000]]}



{"formula": "ZnAs2Pb2", "functional": "PBE-GGA", "state": "relaxed", "final_energy_ev_per_atom": -3.65, "lattice": [[2.1615, -8.0937, 0.0000], [2.1615, 8.0937, 0.0000], [0.0000, 0.0000, 7.6039]], "species": ["Zn", "Zn", "As", "As", "As", "As", "Pb", "Pb", "Pb", "Pb"], "frac_coords": [[0.0954, 0.9046, 0.5000], [0.9046, 0.0954, 0.0000], [0.0541, 0.9459, 0.8336], [0.3212, 0.6788, 0.9294], [0.6788, 0.3212, 0.4294], [0.9459, 0.0541, 0.3336], [0.3056, 0.6944, 0.3142], [0.4556, 0.5444, 0.6643], [0.5444, 0.4556, 0.1643], [0.6944, 0.3056, 0.8142]]}